No. 1
This record from the Alexandria database describes an optimized crystal structure of PH2F. The functional is PBE.

Lattice parameters (Å, degrees): 4.514 4.841 6.261 108.41 111.94 91.72
Positions (direct):
P 0.636 0.841 0.545
P 0.633 0.557 0.194
H 0.777 0.652 0.675
H 0.934 0.023 0.613
H 0.869 0.374 0.184
H 0.786 0.790 0.154
F 0.331 0.508 0.936
F 0.411 0.278 0.213

## Properties
- uncorrected energy (eV per atom) = -4.236
- total magnetic moment (μB per formula unit) = 0.00
- N(E_F) (states/eV/f.u.) = 0.00
- symmetry = P1

---

No. 2
This record from the Alexandria database describes an optimized crystal structure of PaTeBrO4. The functional is PBE.

Lattice parameters (Å, degrees): 6.716 6.716 6.863 82.23 82.23 65.02
Positions (direct):
Pa 0.226 0.226 0.867
Pa 0.774 0.774 0.133
Te 0.643 0.643 0.680
Te 0.357 0.357 0.320
Br 0.023 0.023 0.233
Br 0.977 0.977 0.767
O 0.231 0.231 0.538
O 0.769 0.769 0.462
O 0.110 0.480 0.162
O 0.605 0.605 0.201
O 0.520 0.890 0.838
O 0.480 0.110 0.162
O 0.395 0.395 0.799
O 0.890 0.520 0.838

## Properties
- total magnetic moment (μB per formula unit) = 0.00
- N(E_F) (states/eV/f.u.) = 0.00
- formation energy from raw total energies (kJ/mol of atoms) = -197.0
- symmetry = C2/m

---

No. 3
This record from the Alexandria database describes an optimized crystal structure of Be3CdGa. The functional is PBE.

Lattice parameters (Å, degrees): 4.488 4.488 4.488 90.00 90.00 90.00
Positions (direct):
Be 0.000 0.500 0.000
Be 0.000 0.000 0.500
Be 0.500 0.000 0.000
Ga 0.500 0.500 0.500
Cd 0.000 0.000 0.000

## Properties
- formation energy (eV per atom) = 1.04
- total magnetic moment (μB per formula unit) = 0.00
- N(E_F) (states/eV/f.u.) = 1.01
- symmetry = Pm-3m

---

No. 4
This record from the Alexandria database describes an optimized crystal structure of PaBeP2O8. The functional is PBE.

Lattice parameters (Å, degrees): 4.998 4.998 6.281 90.00 90.00 120.00
Last column: magnetic moment on the atom in μB.
Positions (direct):
Pa 0.000 0.000 0.500  1.02
Be 0.000 0.000 0.000  0.00
P 0.333 0.667 0.744  0.00
P 0.667 0.333 0.256  0.00
O 0.163 0.326 0.814  -0.01
O 0.163 0.837 0.814  -0.01
O 0.674 0.837 0.814  -0.01
O 0.326 0.163 0.186  -0.01
O 0.667 0.333 0.504  -0.01
O 0.333 0.667 0.496  -0.01
O 0.837 0.674 0.186  -0.01
O 0.837 0.163 0.186  -0.01

## Properties
- total magnetic moment (μB per formula unit) = 1.00
- N(E_F) (states/eV/f.u.) = 6.53
- formation energy from raw total energies (kJ/mol of atoms) = -241.8
- symmetry = P-3m1

---

No. 5
This record from the Alexandria database describes an optimized crystal structure of Sc5Bi2H. The functional is PBE.

Lattice parameters (Å, degrees): 6.467 6.467 6.297 120.90 120.90 90.00
Last column: magnetic moment on the atom in μB.
Positions (direct):
Sc 0.752 0.254 0.006  0.20
Sc 0.254 0.254 0.007  0.20
Sc 0.752 0.752 0.006  0.20
Sc 0.254 0.752 0.006  0.20
Sc 0.759 0.759 0.517  0.12
Bi 0.253 0.753 0.506  -0.01
Bi 0.753 0.253 0.506  -0.01
H 0.999 0.999 0.998  0.00

## Properties
- uncorrected energy (eV per atom) = -5.681
- total magnetic moment (μB per formula unit) = 1.37
- N(E_F) (states/eV/f.u.) = 10.67
- symmetry = I4mm

---

No. 6
This record from the Alexandria database describes an optimized crystal structure of Sm3Cd2In4. The functional is PBE.

Lattice parameters (Å, degrees): 4.952 6.188 9.367 113.98 90.00 113.59
Positions (direct):
Sm 0.666 0.331 0.666
Sm 0.000 0.000 0.000
Sm 0.334 0.669 0.334
Cd 0.614 0.229 0.282
Cd 0.386 0.771 0.718
In 0.723 0.446 0.061
In 0.277 0.554 0.939
In 0.946 0.893 0.615
In 0.054 0.107 0.385

## Properties
- formation energy (eV per atom) = -0.44
- total magnetic moment (μB per formula unit) = 0.00
- N(E_F) (states/eV/f.u.) = 6.20
- symmetry = C2/m

---

No. 7
This record from the Alexandria database describes an optimized crystal structure of AcBiPb. The functional is PBE.

Lattice parameters (Å, degrees): 5.690 5.690 9.231 72.05 72.05 60.00
Positions (direct):
Bi 0.280 0.280 0.159
Bi 0.720 0.720 0.841
Ac 0.413 0.413 0.762
Ac 0.587 0.587 0.238
Pb 0.840 0.840 0.480
Pb 0.160 0.160 0.520

## Properties
- formation energy (eV per atom) = -0.45
- total magnetic moment (μB per formula unit) = 0.00
- N(E_F) (states/eV/f.u.) = 0.50
- symmetry = R-3m

---

No. 8
This record from the Alexandria database describes an optimized crystal structure of InCoPS2. The functional is PBE.

Lattice parameters (Å, degrees): 4.763 4.763 4.113 90.00 90.00 90.00
Positions (direct):
P 0.000 0.000 0.500
S 0.000 0.500 0.000
S 0.500 0.000 0.000
Co 0.000 0.000 0.000
In 0.500 0.500 0.500

## Properties
- total magnetic moment (μB per formula unit) = 0.00
- N(E_F) (states/eV/f.u.) = 4.85
- formation energy from raw total energies (kJ/mol of atoms) = 22.8
- symmetry = P4/mmm

---

No. 9
This record from the Alexandria database describes an optimized crystal structure of Ho12Tm3In. The functional is PBE.

Lattice parameters (Å, degrees): 4.918 4.918 19.921 90.00 90.00 90.00
Positions (direct):
Ho 0.500 0.500 0.000
Ho 0.500 0.500 0.245
Ho 0.500 0.500 0.500
Ho 0.500 0.500 0.755
Ho 0.500 0.000 0.122
Ho 0.500 0.000 0.374
Ho 0.500 0.000 0.626
Ho 0.500 0.000 0.878
Ho 0.000 0.500 0.122
Ho 0.000 0.500 0.374
Ho 0.000 0.500 0.626
Ho 0.000 0.500 0.878
Tm 0.000 0.000 0.249
Tm 0.000 0.000 0.500
Tm 0.000 0.000 0.751
In 0.000 0.000 0.000

## Properties
- formation energy (eV per atom) = -0.05
- total magnetic moment (μB per formula unit) = 0.00
- N(E_F) (states/eV/f.u.) = 19.30
- symmetry = P4/mmm

---

No. 10
This record from the Alexandria database describes an optimized crystal structure of CdPb3C. The functional is PBE.

Lattice parameters (Å, degrees): 5.661 5.661 5.661 90.00 90.00 90.00
Last column: magnetic moment on the atom in μB.
Positions (direct):
Pb 0.000 0.500 0.000  -0.06
Pb 0.000 0.000 0.500  -0.08
Pb 0.500 0.000 0.000  -0.06
C 0.500 0.500 0.500  0.87
Cd 0.000 0.000 0.000  0.00

## Properties
- formation energy (eV per atom) = 1.76
- total magnetic moment (μB per formula unit) = 1.39
- N(E_F) (states/eV/f.u.) = 2.66
- symmetry = Pm-3m

---

No. 11
This record from the Alexandria database describes an optimized crystal structure of CaPuCu2Si2. The functional is PBE.

Lattice parameters (Å, degrees): 4.138 4.138 7.867 90.00 90.00 120.00
Last column: magnetic moment on the atom in μB.
Positions (direct):
Ca 0.000 0.000 0.500  -0.03
Pu 0.000 0.000 0.000  4.95
Cu 0.333 0.667 0.756  -0.03
Cu 0.667 0.333 0.244  -0.03
Si 0.333 0.667 0.230  -0.08
Si 0.667 0.333 0.770  -0.08

## Properties
- total magnetic moment (μB per formula unit) = 4.62
- N(E_F) (states/eV/f.u.) = 11.03
- formation energy from raw total energies (kJ/mol of atoms) = -37.0
- symmetry = P-3m1

---

No. 12
This record from the Alexandria database describes an optimized crystal structure of Ta3AlC2. The functional is PBE.

Lattice parameters (Å, degrees): 3.108 3.108 19.241 90.00 90.00 120.00
Positions (direct):
Ta 0.333 0.667 0.134
Ta 0.667 0.333 0.634
Ta 0.333 0.667 0.366
Ta 0.667 0.333 0.866
Ta 0.000 0.000 0.500
Ta 0.000 0.000 0.000
Al 0.000 0.000 0.250
Al 0.000 0.000 0.750
C 0.667 0.333 0.432
C 0.667 0.333 0.068
C 0.333 0.667 0.568
C 0.333 0.667 0.932

## Properties
- formation energy (eV per atom) = -0.57
- total magnetic moment (μB per formula unit) = 0.00
- N(E_F) (states/eV/f.u.) = 1.41
- symmetry = P6_3/mmc

---

No. 13
This record from the Alexandria database describes an optimized crystal structure of PPtSe2. The functional is PBE.

Lattice parameters (Å, degrees): 6.099 6.099 6.099 145.82 138.51 54.80
Positions (direct):
P 0.600 0.600 0.000
Pt 0.753 0.253 0.500
Se 0.922 0.922 0.000
Se 0.225 0.725 0.500

## Properties
- total magnetic moment (μB per formula unit) = 0.00
- N(E_F) (states/eV/f.u.) = 2.23
- formation energy from raw total energies (kJ/mol of atoms) = 14.6
- symmetry = Imm2

---

No. 14
This record from the Alexandria database describes an optimized crystal structure of Sc4HgPt. The functional is PBE.

Lattice parameters (Å, degrees): 5.599 5.599 5.599 60.00 60.00 60.00
Positions (direct):
Sc 0.878 0.374 0.374
Sc 0.374 0.374 0.878
Sc 0.374 0.878 0.374
Sc 0.374 0.374 0.374
Hg 0.750 0.750 0.750
Pt 0.000 0.000 0.000

## Properties
- formation energy (eV per atom) = 0.08
- total magnetic moment (μB per formula unit) = 0.00
- N(E_F) (states/eV/f.u.) = 7.26
- symmetry = F-43m

---

No. 15
This record from the Alexandria database describes an optimized crystal structure of La5Dy. The functional is PBE.

Lattice parameters (Å, degrees): 5.265 7.342 11.085 90.00 90.00 90.00
Positions (direct):
La 0.750 0.127 0.250
La 0.250 0.873 0.750
La 0.250 0.875 0.417
La 0.750 0.125 0.917
La 0.750 0.125 0.583
La 0.250 0.875 0.083
La 0.250 0.376 0.419
La 0.750 0.624 0.919
La 0.750 0.624 0.581
La 0.250 0.376 0.081
Dy 0.750 0.624 0.250
Dy 0.250 0.376 0.750

## Properties
- formation energy (eV per atom) = 0.01
- total magnetic moment (μB per formula unit) = 0.00
- N(E_F) (states/eV/f.u.) = 9.96
- symmetry = Pmmn

---

No. 16
This record from the Alexandria database describes an optimized crystal structure of Ho5TlNi. The functional is PBE.

Lattice parameters (Å, degrees): 6.467 6.467 11.222 73.19 73.19 62.79
Positions (direct):
Ho 0.960 0.601 0.137
Ho 0.205 0.550 0.546
Ho 0.601 0.960 0.637
Ho 0.989 0.011 0.250
Ho 0.450 0.795 0.954
Ho 0.550 0.205 0.046
Ho 0.011 0.989 0.750
Ho 0.399 0.040 0.363
Ho 0.795 0.450 0.454
Ho 0.040 0.399 0.863
Tl 0.472 0.528 0.250
Tl 0.528 0.472 0.750
Ni 0.000 0.000 0.000
Ni 0.000 0.000 0.500

## Properties
- formation energy (eV per atom) = -0.09
- total magnetic moment (μB per formula unit) = 0.00
- N(E_F) (states/eV/f.u.) = 7.52
- symmetry = C2/c

---

No. 17
This record from the Alexandria database describes an optimized crystal structure of DyScS. The functional is PBE.

Lattice parameters (Å, degrees): 3.672 3.672 6.007 90.00 90.00 120.00
Positions (direct):
Sc 0.667 0.333 0.409
S 0.333 0.667 0.652
Dy 0.000 0.000 0.939

## Properties
- total magnetic moment (μB per formula unit) = 0.00
- N(E_F) (states/eV/f.u.) = 2.93
- formation energy from raw total energies (kJ/mol of atoms) = -119.3
- symmetry = P3m1

---

No. 18
This record from the Alexandria database describes an optimized crystal structure of Pu2PaPdS5. The functional is PBE.

Lattice parameters (Å, degrees): 3.895 8.344 11.921 90.00 90.00 103.50
Last column: magnetic moment on the atom in μB.
Positions (direct):
Pu 0.895 0.789 0.852  5.25
Pu 0.114 0.228 0.695  5.22
Pu 0.105 0.211 0.352  5.25
Pu 0.886 0.772 0.195  5.22
Pa 0.815 0.631 0.522  0.51
Pa 0.185 0.369 0.022  0.51
Pd 0.561 0.121 0.921  -0.12
Pd 0.439 0.879 0.421  -0.12
S 0.350 0.699 0.021  -0.09
S 0.703 0.405 0.860  -0.05
S 0.494 0.987 0.745  -0.15
S 0.302 0.604 0.681  -0.06
S 0.982 0.963 0.527  -0.09
S 0.650 0.301 0.521  -0.09
S 0.297 0.595 0.360  -0.05
S 0.506 0.013 0.245  -0.15
S 0.698 0.396 0.181  -0.06
S 0.018 0.037 0.027  -0.09

## Properties
- total magnetic moment (μB per formula unit) = 10.94
- N(E_F) (states/eV/f.u.) = 17.89
- formation energy from raw total energies (kJ/mol of atoms) = -140.1
- symmetry = Cmc2_1

---

No. 19
This record from the Alexandria database describes an optimized crystal structure of LaTa2P. The functional is PBE.

Lattice parameters (Å, degrees): 8.541 8.541 8.541 23.51 23.51 23.51
Positions (direct):
La 0.250 0.250 0.250
P 0.750 0.750 0.750
Ta 0.028 0.028 0.028
Ta 0.472 0.472 0.472

## Properties
- formation energy (eV per atom) = -0.01
- total magnetic moment (μB per formula unit) = 0.00
- N(E_F) (states/eV/f.u.) = 5.18
- symmetry = R-3m

---

No. 20
This record from the Alexandria database describes an optimized crystal structure of Sr4LiHg3. The functional is PBE.

Lattice parameters (Å, degrees): 4.443 5.041 12.452 90.00 90.00 90.00
Positions (direct):
Sr 0.500 0.500 0.366
Sr 0.000 0.500 0.851
Sr 0.000 0.000 0.146
Sr 0.500 0.000 0.640
Li 0.500 0.500 0.060
Hg 0.000 0.500 0.581
Hg 0.000 0.000 0.419
Hg 0.500 0.000 0.937

## Properties
- formation energy (eV per atom) = -0.40
- total magnetic moment (μB per formula unit) = 0.00
- N(E_F) (states/eV/f.u.) = 6.23
- symmetry = Pmm2

---

No. 21
This record from the Alexandria database describes an optimized crystal structure of Tb2Sm8In. The functional is PBE.

Lattice parameters (Å, degrees): 5.521 7.688 9.889 112.87 106.21 90.00
Positions (direct):
Tb 0.193 0.693 0.386
Tb 0.807 0.307 0.614
Sm 0.637 0.864 0.274
Sm 0.363 0.590 0.726
Sm 0.178 0.178 0.357
Sm 0.000 0.260 0.000
Sm 0.822 0.822 0.643
Sm 0.637 0.410 0.274
Sm 0.363 0.136 0.726
Sm 0.000 0.740 0.000
In 0.500 0.000 0.000

## Properties
- formation energy (eV per atom) = 0.01
- total magnetic moment (μB per formula unit) = 0.00
- N(E_F) (states/eV/f.u.) = 17.16
- symmetry = Immm

---

No. 22
This record from the Alexandria database describes an optimized crystal structure of CeNd2DyEr5. The functional is PBE.

Lattice parameters (Å, degrees): 8.560 8.560 9.858 115.73 115.73 90.00
Last column: magnetic moment on the atom in μB.
Positions (direct):
Ce 0.250 0.750 0.500  -0.71
Ce 0.750 0.250 0.500  -0.71
Nd 0.120 0.380 0.000  0.01
Nd 0.620 0.120 0.000  0.01
Nd 0.380 0.880 0.000  0.01
Nd 0.880 0.620 0.000  0.01
Dy 0.250 0.250 0.500  -0.01
Dy 0.750 0.750 0.500  -0.01
Er 0.935 0.435 0.282  -0.05
Er 0.653 0.153 0.718  -0.05
Er 0.065 0.565 0.718  -0.05
Er 0.153 0.065 0.718  -0.05
Er 0.565 0.653 0.718  -0.05
Er 0.847 0.935 0.282  -0.05
Er 0.435 0.347 0.282  -0.05
Er 0.347 0.847 0.282  -0.05
Er 0.500 0.500 0.000  0.02
Er 0.000 0.000 0.000  0.02

## Properties
- formation energy (eV per atom) = 0.27
- total magnetic moment (μB per formula unit) = 0.97
- N(E_F) (states/eV/f.u.) = 14.94
- symmetry = I4/mcm

---

No. 23
This record from the Alexandria database describes an optimized crystal structure of POsBr2. The functional is PBE.

Lattice parameters (Å, degrees): 4.730 4.730 3.198 90.00 90.00 90.00
Positions (direct):
Br 0.000 0.000 0.000
Br 0.500 0.500 0.000
Os 0.500 0.000 0.500
P 0.000 0.500 0.500

## Properties
- total magnetic moment (μB per formula unit) = 0.00
- N(E_F) (states/eV/f.u.) = 4.05
- formation energy from raw total energies (kJ/mol of atoms) = 147.4
- symmetry = P4/mmm